[1]
Tl2ReBr: relaxed, PBE-GGA.

```
4
Lattice="9.2797 0.0311 0.0184 8.6347 3.3994 0.0184 8.6347 1.6535 2.9703" Properties=species:S:1:pos:R:3 pbc="T T T"
Re 19.9119 3.8130 2.2553
Tl 0.1873 0.0359 0.0212
Tl 13.0873 2.5061 1.4823
Br 6.6373 1.2710 0.7518
```

Output
Formation energy without anion corrections = 0.8146 eV per atom
Total magnetization = 0.06 μB per cell
Mass density = 12.14 g/cm³
Space-group type = R-3m (166)
E above lowest polymorph = 204 meV per atom
Raw total energy = -15.59 eV for the cell shown

=====

[2]
TiTe3F: relaxed, PBE-GGA.

```
5
Lattice="-2.0016 -3.5659 3.1778 -0.7582 -3.1646 -4.0287 4.7158 -2.0223 0.7011" Properties=species:S:1:pos:R:3 pbc="T T T"
F 0.9780 -4.3764 -0.0749
Te -0.3791 -1.5823 -2.0144
Te 2.3579 -1.0112 0.3506
Te -1.0008 -1.7829 1.5889
Ti 0.0000 0.0000 0.0000
```

Output
Formation energy without anion corrections = -0.2979 eV per atom
Total magnetization = 0.00 μB per cell
Mass density = 5.38 g/cm³
Space-group type = Pm-3m (221)
E above lowest polymorph = 0 meV per atom
Raw total energy = -20.68 eV for the cell shown

=====

[3]
MgAg2SbSe4: relaxed, PBE-GGA.

```
8
Lattice="-0.7053 -1.7386 -5.9065 0.2349 -5.9488 1.7249 -5.7432 3.8178 2.8142" Properties=species:S:1:pos:R:3 pbc="T T T"
Mg -6.1602 -0.8935 -2.2494
Ag -5.6931 -2.9990 1.5675
Ag -2.8208 -0.0120 0.3391
Sb -3.0560 -3.8560 -1.7500
Se -4.4699 -1.9162 -0.5450
Se -1.7664 -2.8237 -3.8685
Se -1.2890 -4.8737 -0.0009
Se -4.2273 1.8756 1.5977
```

Output
Formation energy without anion corrections = -0.3628 eV per atom
Total magnetization = 0.00 μB per cell
Mass density = 4.86 g/cm³
Space-group type = I-4 (82)
Raw total energy = -28.26 eV for the cell shown

=====

[4]
HfTiBiC: relaxed, PBE-GGA.

```
4
Lattice="-2.2882 2.2504 -0.5316 -1.0145 0.6037 -3.0313 -6.8780 -4.7335 -0.3864" Properties=species:S:1:pos:R:3 pbc="T T T"
Hf -4.7338 -0.5889 -2.0241
Ti -6.6090 -2.4341 -1.7640
Bi -2.5511 1.5590 -2.3268
C -6.7985 -0.5858 -3.0781
```

Output
Total magnetization = 0.80 μB per cell
Mass density = 9.95 g/cm³
Formation enthalpy at 0 K = -24 meV per atom
Space-group type = R3m (160)
Raw total energy = -31.05 eV for the cell shown

=====

[5]
Cd2Cl2O: relaxed, PBE-GGA.

```
10
Lattice="3.4109 0.0000 0.0000 -1.7055 6.2521 0.0000 0.0000 0.0000 10.6014" Properties=species:S:1:pos:R:3 pbc="T T T"
Cd 0.0000 3.1499 0.3889
Cd 0.0000 0.2841 10.1190
Cd 1.7055 3.1021 5.6896
Cd 1.7055 5.9680 4.8183
Cl 1.7055 4.7717 1.6335
Cl 0.0000 4.8748 8.9468
Cl 0.0000 1.4804 6.9342
Cl 1.7055 1.3772 3.6461
O 1.7055 1.7151 10.5602
O 0.0000 4.5369 5.2595
```

Output
Formation energy without anion corrections = -0.9271 eV per atom
Total magnetization = 0.00 μB per cell
Mass density = 4.58 g/cm³
Space-group type = Cmc2_1 (36)
E above lowest polymorph = 80 meV per atom
Raw total energy = -30.23 eV for the cell shown

=====

[6]
TaGe3P: relaxed, PBE-GGA.

```
5
Lattice="4.6418 0.0000 0.0000 0.0000 4.6418 0.0000 0.0000 0.0000 4.6418" Properties=species:S:1:pos:R:3 pbc="T T T"
P 0.0000 0.0000 0.0000
Ge 0.0000 2.3209 0.0000
Ge 0.0000 0.0000 2.3209
Ge 2.3209 0.0000 0.0000
Ta 2.3209 2.3209 2.3209
```

Output
Total magnetization = 0.00 μB per cell
Mass density = 7.14 g/cm³
Formation enthalpy at 0 K = 1071 meV per atom
Space-group type = Pm-3m (221)
E above lowest polymorph = 156 meV per atom
Raw total energy = -25.76 eV for the cell shown